[1]
Density functional theory data (PBE) for a relaxed CaAgSn crystal.

DOS(E_F), states/eV per cell: 10.45
Raw total energy, eV/cell: -125.07
ΔE_f, eV/atom: -0.522

abc: 4.843 22.175 8.370
angles: 90.00 90.00 90.00
Space group Imm2 (No. 44)
One atom of each set of equivalent atoms:
Ca  0.000  0.000  0.000
Ca  0.000  0.166  0.037
Ca  0.000  0.334  0.995
Ca  0.000  0.500  0.032
Ag  0.000  0.080  0.348
Ag  0.000  0.241  0.682
Ag  0.000  0.397  0.347
Sn  0.000  0.078  0.683
Sn  0.000  0.259  0.351
Sn  0.000  0.430  0.677



[2]
Density functional theory data (PBE) for a relaxed Ca2Ag2Sn3 crystal.

DOS(E_F), states/eV per cell: 8.57
ΔE to the lowest computed polymorph, eV per atom: 0.059
Raw total energy, eV/cell: -48.38
ΔE_f, eV/atom: -0.354

abc: 11.283 4.514 7.681
angles: 90.00 112.93 90.00
Space group C2/m (No. 12)
One atom of each set of equivalent atoms:
Ca  0.145  0.000  0.288
Ag  0.149  0.000  0.729
Sn  0.000  0.500  0.500
Sn  0.115  0.500  0.950



[3]
Density functional theory data (PBE) for a relaxed Ca6Ag5Sn crystal.

DOS(E_F), states/eV per cell: 15.92
Raw total energy, eV/cell: -69.61
ΔE_f, eV/atom: -0.378

abc: 16.565 7.614 5.204
angles: 90.00 107.80 90.00
Space group C2/m (No. 12)
One atom of each set of equivalent atoms:
Ca  0.000  0.246  0.000
Ca  0.167  0.249  0.667
Ag  0.000  0.000  0.500
Ag  0.166  0.500  0.167
Ag  0.167  0.000  0.166
Sn  0.000  0.500  0.500



[4]
Density functional theory data (PBE) for a relaxed Ca4AgSn crystal.

DOS(E_F), states/eV per cell: 10.26
Raw total energy, eV/cell: -33.58
ΔE_f, eV/atom: -0.322

abc: 7.414 7.414 7.614
angles: 90.00 90.07 90.00
Space group C2/m (No. 12)
One atom of each set of equivalent atoms:
Ca  0.250  0.250  0.248
Ag  0.000  0.000  0.000
Sn  0.000  0.500  0.500



[5]
Density functional theory data (PBE) for a relaxed Ca3Ag2Sn crystal.

DOS(E_F), states/eV per cell: 3.11
ΔE to the lowest computed polymorph, eV per atom: 0.000
Raw total energy, eV/cell: -37.06
ΔE_f, eV/atom: -0.470

abc: 5.2979 5.2979 13.0430
angles: 90.00 90.00 120.00
Space group P-3m1 (No. 164)
One atom of each set of equivalent atoms:
Ca  0.0000  0.0000  0.2472
Ca  0.3333  0.6667  0.4182
Ca  0.3333  0.6667  0.9193
Ag  0.0000  0.0000  0.0000
Ag  0.0000  0.0000  0.5000
Ag  0.3333  0.6667  0.1663
Sn  0.3333  0.6667  0.6708



[6]
Density functional theory data (PBE) for a relaxed CaAg2Sn2 crystal.

DOS(E_F), states/eV per cell: 5.68
Raw total energy, eV/cell: -32.67
ΔE_f, eV/atom: -0.125

abc: 8.383 8.383 3.451
angles: 90.00 90.00 90.00
Space group P4/mbm (No. 127)
One atom of each set of equivalent atoms:
Ca  0.000  0.000  0.000
Ag  0.153  0.347  0.500
Sn  0.142  0.642  0.000



[7]
Density functional theory data (PBE) for a relaxed Ca2Ag4Sn5 crystal.

DOS(E_F), states/eV per cell: 5.46
Raw total energy, eV/cell: -75.56
ΔE_f, eV/atom: -0.214

abc: 13.243 6.168 9.195
angles: 90.00 133.96 90.00
Space group C2/m (No. 12)
One atom of each set of equivalent atoms:
Ca  0.207  0.000  0.208
Ag  0.248  0.500  0.085
Ag  0.248  0.500  0.411
Sn  0.000  0.255  0.320
Sn  0.000  0.500  0.000



[8]
Density functional theory data (PBE) for a relaxed CaAgSn2 crystal.

DOS(E_F), states/eV per cell: 7.21
Raw total energy, eV/cell: -57.19
ΔE_f, eV/atom: -0.360

abc: 4.799 4.799 17.151
angles: 90.00 90.00 90.00
Space group I4/mmm (No. 139)
One atom of each set of equivalent atoms:
Ca  0.000  0.000  0.130
Ag  0.000  0.500  0.250
Sn  0.000  0.000  0.352
Sn  0.000  0.500  0.000



[9]
Density functional theory data (PBE) for a relaxed Ca2Ag9Sn crystal.

DOS(E_F), states/eV per cell: 9.29
Raw total energy, eV/cell: -105.03
ΔE_f, eV/atom: -0.112

abc: 5.6676 5.6676 27.8606
angles: 90.00 90.00 120.00
Space group R-3m (No. 166, hexagonal axes)
One atom of each set of equivalent atoms:
Ca  0.0000  0.0000  0.1349
Ag  0.0000  0.0000  0.3333
Ag  0.0000  0.0000  0.5000
Ag  0.0039  0.5020  0.9156
Sn  0.0000  0.0000  0.0000



[10]
Density functional theory data (PBE) for a relaxed CaAgSn crystal.

DOS(E_F), states/eV per cell: 2.49
Raw total energy, eV/cell: -20.21
ΔE_f, eV/atom: -0.416

abc: 4.666 4.864 6.854
angles: 90.00 109.99 90.00
Space group P2_1/m (No. 11)
One atom of each set of equivalent atoms:
Ca  0.095  0.250  0.191
Ag  0.245  0.750  0.492
Sn  0.392  0.250  0.782



[11]
Density functional theory data (PBE) for a relaxed CaAgSn2 crystal.

DOS(E_F), states/eV per cell: 7.49
Raw total energy, eV/cell: -37.49
ΔE_f, eV/atom: 0.090

abc: 3.5101 3.5101 32.1318
angles: 90.00 90.00 120.00
Space group R-3m (No. 166, hexagonal axes)
One atom of each set of equivalent atoms:
Ca  0.0000  0.0000  0.0000
Ag  0.0000  0.0000  0.5000
Sn  0.0000  0.0000  0.0993



[12]
Density functional theory data (PBE) for a relaxed CaAg3Sn3 crystal.

DOS(E_F), states/eV per cell: 8.11
ΔE to the lowest computed polymorph, eV per atom: 0.373
Raw total energy, eV/cell: -42.13
ΔE_f, eV/atom: 0.214

abc: 7.627 7.627 7.627
angles: 90.00 90.00 90.00
Space group Pm-3n (No. 223)
One atom of each set of equivalent atoms:
Ca  0.000  0.000  0.000
Ag  0.000  0.250  0.500
Sn  0.000  0.500  0.250